Record 1
Here is an optimized crystal structure of CsLi3Pd from Alexandria. Energies are from GGA-PBEsol.

a = 5.131 Å, b = 5.131 Å, c = 5.131 Å
α = 90.00°, β = 90.00°, γ = 90.00°
Atoms (fractional coordinates):
Cs: 0.500 0.500 0.500
Pd: 0.000 0.000 0.000
Li: 0.000 0.500 0.000
Li: 0.500 0.000 0.000
Li: 0.000 0.000 0.500

Values from the calculation:
DFT formation energy ... 35 meV per atom


Record 2
Here is an optimized crystal structure of Fe2SiW from Alexandria. Energies are from GGA-PBEsol.

a = 2.856 Å, b = 2.856 Å, c = 5.866 Å
α = 90.00°, β = 90.00°, γ = 90.01°
Each line ends with the local moment (μB).
Atoms (fractional coordinates):
Fe: 0.000 0.000 0.976  1.96
Fe: 0.500 0.500 0.742  1.12
Si: 0.000 0.000 0.535  -0.02
W: 0.500 0.500 0.246  -0.30

Values from the calculation:
ΔE_f (raw) ... -0.11 eV per atom


Record 3
Here is an optimized crystal structure of NiTe2H from Alexandria. Energies are from GGA-PBEsol.

a = 5.443 Å, b = 5.443 Å, c = 6.512 Å
α = 114.70°, β = 114.70°, γ = 90.00°
Atoms (fractional coordinates):
Te: 0.625 0.602 0.750
Te: 0.852 0.375 0.250
Te: 0.398 0.875 0.250
Te: 0.125 0.148 0.750
Ni: 0.000 0.000 0.000
Ni: 0.250 0.750 0.500
H: 0.750 0.250 0.500
H: 0.500 0.500 0.000

Values from the calculation:
Calculated total energy ... -31.0 eV per cell


Record 4
Here is an optimized crystal structure of Fe2PRu from Alexandria. Energies are from GGA-PBEsol.

a = 3.538 Å, b = 3.538 Å, c = 4.282 Å
α = 114.40°, β = 114.40°, γ = 90.00°
Atoms (fractional coordinates):
P: 0.500 0.500 0.000
Fe: 0.000 0.000 0.000
Fe: 0.750 0.250 0.500
Ru: 0.250 0.750 0.500

Values from the calculation:
DFT formation energy ... -123 meV per atom


Record 5
Here is an optimized crystal structure of YMoPb2 from Alexandria. Energies are from GGA-PBEsol.

a = 3.567 Å, b = 5.200 Å, c = 5.200 Å
α = 104.15°, β = 96.50°, γ = 96.50°
Each line ends with the local moment (μB).
Atoms (fractional coordinates):
Pb: 0.000 0.500 0.000  -0.02
Pb: 0.000 0.000 0.500  -0.02
Mo: 0.500 0.000 0.000  0.85
Y: 0.500 0.500 0.500  -0.05

Values from the calculation:
Offset from the most stable computed form ... 141 meV/atom
DFT formation energy ... 305 meV per atom


Record 6
Here is an optimized crystal structure of Bi2PbSe from Alexandria. Energies are from GGA-PBEsol.

a = 5.346 Å, b = 5.346 Å, c = 5.346 Å
α = 60.00°, β = 60.00°, γ = 60.00°
Atoms (fractional coordinates):
Se: 0.000 0.000 0.000
Bi: 0.250 0.250 0.250
Bi: 0.750 0.750 0.750
Pb: 0.500 0.500 0.500

Values from the calculation:
Offset from the most stable computed form ... 0 meV/atom
ΔE_f (raw) ... 0.05 eV per atom


no.,mass density (Mg/m³)
1,3.20
2,11.23
3,6.72
4,9.31
5,10.83
6,10.82